{"formula": "BaEuSnWO6", "functional": "GGA+U", "state": "relaxed", "de_polymorph_mev_per_atom": 0, "density_g_cm3": 7.24, "sg": "P-1 (2)", "lattice_angstrom": [[-2.3566, -4.6516, -2.9466], [4.1241, -3.6998, 2.6147], [-5.4173, -1.1389, 6.5877]], "species": ["Eu", "Eu", "O", "Sn", "O", "Ba", "O", "W", "O", "O", "W", "O", "Sn", "O", "Ba", "O", "O", "O", "O", "O"], "frac_coords": [[0.5240, 0.4581, 0.2451], [0.4760, 0.5419, 0.7549], [0.2434, 0.3019, 0.5630], [0.5000, 0.0000, 0.5000], [0.6634, 0.7291, 0.0557], [0.9997, 0.0344, 0.7512], [0.8042, 0.2558, 0.4335], [0.0000, 0.5000, 0.5000], [0.4349, 0.0577, 0.2195], [0.5651, 0.9423, 0.7805], [0.5000, 0.0000, 0.0000], [0.1958, 0.7442, 0.5665], [0.0000, 0.5000, 0.0000], [0.7566, 0.6981, 0.4370], [0.0003, 0.9656, 0.2488], [0.7745, 0.1749, 0.0275], [0.2255, 0.8251, 0.9725], [0.3366, 0.2709, 0.9443], [0.8769, 0.4836, 0.7120], [0.1231, 0.5164, 0.2880]]}